Record 1
Computed, not measured: a geometry-optimized Cr2HRh structure at the GGA-PBE level of DFT.

Lattice parameters (Å, degrees): 2.661 4.599 6.630 103.55 90.00 90.00
Fractional coordinates of all 8 atoms:
Cr (0.778, 0.620, 0.383)
Cr (0.278, 0.120, 0.383)
Cr (0.278, 0.566, 0.721)
Cr (0.778, 0.066, 0.721)
H (0.278, 0.843, 0.552)
H (0.778, 0.343, 0.552)
Rh (0.778, 0.843, 0.052)
Rh (0.278, 0.343, 0.052)

Properties
* DOS at the Fermi energy: 1.216 states/eV per atom
* SG: No. 12
* offset from the most stable computed form: 11 meV/atom

***

Record 2
Computed, not measured: a geometry-optimized Li2MgIn structure at the GGA-PBE level of DFT.

Lattice parameters (Å, degrees): 3.358 3.545 6.728 90.00 90.00 90.00
Fractional coordinates of all 4 atoms:
Mg (0.000, 0.000, 0.487)
Li (0.000, 0.000, 0.006)
Li (0.500, 0.500, 0.235)
In (0.500, 0.500, 0.773)

Properties
* DOS at the Fermi energy: 0.298 states/eV per atom
* SG: No. 25
* energy: -2.200 eV per atom

***

Record 3
Computed, not measured: a geometry-optimized Ce2YTlC structure at the GGA-PBE level of DFT.

Lattice parameters (Å, degrees): 5.005 4.965 4.965 90.00 90.00 90.00
Each line ends with the local moment (μB).
Fractional coordinates of all 5 atoms:
Ce (0.000, 0.000, 0.500)  0.50
Ce (0.000, 0.500, 0.000)  0.50
Y (0.500, 0.000, 0.000)  0.03
Tl (0.500, 0.500, 0.500)  -0.02
C (0.000, 0.000, 0.000)  -0.04

Properties
* DOS at the Fermi energy: 1.781 states/eV per atom
* SG: No. 123
* energy: -6.302 eV per atom

***

Q: Which value of DOS at the Fermi energy does entry 3 give?
A: 1.781 states/eV per atom

***

What did the second record say?
Computed, not measured: a geometry-optimized Li2MgIn structure at the GGA-PBE level of DFT.

Lattice parameters (Å, degrees): 3.358 3.545 6.728 90.00 90.00 90.00
Fractional coordinates of all 4 atoms:
Mg (0.000, 0.000, 0.487)
Li (0.000, 0.000, 0.006)
Li (0.500, 0.500, 0.235)
In (0.500, 0.500, 0.773)

Properties
* DOS at the Fermi energy: 0.298 states/eV per atom
* SG: No. 25
* energy: -2.200 eV per atom